# 1
{
  "formula": "Pr2Al5Pd2Rh",
  "functional": "PBE",
  "state": "relaxed",
  "density_g_cm3": 6.44,
  "sg": "No. 127",
  "final_energy_ev_per_cell": -104.47,
  "ef_ev_per_atom": -0.623,
  "dos_ef_per_ev_fu": 5.8,
  "lattice_angstrom": [[-2.4170, 1.2471, -1.9015], [-3.4184, -9.8814, -2.1357], [-6.4647, 0.4033, 8.4815]],
  "species": ["Al", "Al", "Al", "Al", "Al", "Al", "Al", "Al", "Al", "Al", "Pd", "Pd", "Pd", "Pd", "Pr", "Pr", "Pr", "Pr", "Rh", "Rh"],
  "frac_coords": [[0.5000, 0.9520, 0.1854], [0.5000, 0.5480, 0.6854], [0.5000, 0.3146, 0.5480], [0.5000, 0.0000, 0.5000], [0.5000, 0.5000, 0.0000], [0.5000, 0.8146, 0.9520], [0.5000, 0.1854, 0.0480], [0.5000, 0.0480, 0.8146], [0.5000, 0.6854, 0.4520], [0.5000, 0.4520, 0.3146], [0.0000, 0.6228, 0.8772], [0.0000, 0.1228, 0.6228], [0.0000, 0.8772, 0.3772], [0.0000, 0.3772, 0.1228], [0.0000, 0.1841, 0.3159], [0.0000, 0.8159, 0.6841], [0.0000, 0.6841, 0.1841], [0.0000, 0.3159, 0.8159], [0.0000, 0.5000, 0.5000], [0.0000, 0.0000, 0.0000]]
}

***

# 2
{
  "formula": "PrAl2Pd2Rh",
  "functional": "PBE",
  "state": "relaxed",
  "density_g_cm3": 7.07,
  "sg": "No. 123",
  "final_energy_ev_per_cell": -33.80,
  "ef_ev_per_atom": -0.633,
  "dos_ef_per_ev_fu": 2.8,
  "lattice_angstrom": [[-3.0143, -3.2505, 1.3602], [2.7358, -3.2870, -1.7923], [2.6719, -0.4363, 4.8784]],
  "species": ["Pr", "Al", "Al", "Pd", "Pd", "Rh"],
  "frac_coords": [[0.0000, 0.0000, 0.5000], [0.5000, 0.0000, 0.0000], [0.0000, 0.5000, 0.0000], [0.5000, 0.5000, 0.2533], [0.5000, 0.5000, 0.7467], [0.0000, 0.0000, 0.0000]]
}

***

# 3
{
  "formula": "Pr2AlPdS5",
  "functional": "PBE",
  "state": "relaxed",
  "density_g_cm3": 4.93,
  "sg": "No. 36",
  "final_energy_ev_per_cell": -103.23,
  "dos_ef_per_ev_fu": 2.4,
  "formation_energy_uncorrected_ev_per_atom": -1.387,
  "lattice_angstrom": [[3.8875, 0.0000, 0.0000], [-1.9437, 8.7435, 0.0000], [0.0000, 0.0000, 11.3960]],
  "species": ["S", "S", "S", "S", "S", "S", "S", "S", "S", "S", "Al", "Al", "Pr", "Pr", "Pr", "Pr", "Pd", "Pd"],
  "frac_coords": [[0.4944, 0.9888, 0.2832], [0.3157, 0.6315, 0.3472], [0.7039, 0.4079, 0.1579], [0.5056, 0.0112, 0.7832], [0.0414, 0.0827, 0.0544], [0.3680, 0.7359, 0.9860], [0.6843, 0.3685, 0.8472], [0.2961, 0.5921, 0.6579], [0.9586, 0.9173, 0.5544], [0.6320, 0.2641, 0.4860], [0.4231, 0.8463, 0.4556], [0.5769, 0.1537, 0.9556], [0.1231, 0.2462, 0.2949], [0.1195, 0.2391, 0.6792], [0.8769, 0.7538, 0.7949], [0.8805, 0.7609, 0.1792], [0.7577, 0.5154, 0.5655], [0.2423, 0.4846, 0.0655]]
}

***

# 4
{
  "formula": "PrAlSb2Pd4",
  "functional": "PBE",
  "state": "relaxed",
  "density_g_cm3": 8.81,
  "sg": "No. 166",
  "final_energy_ev_per_cell": -43.33,
  "dos_ef_per_ev_fu": 4.1,
  "formation_energy_uncorrected_ev_per_atom": -0.724,
  "lattice_angstrom": [[-1.1126, -2.3719, -3.7560], [3.2713, -1.3608, -2.9014], [1.5661, -8.6617, 2.2142]],
  "species": ["Pd", "Pd", "Pd", "Pd", "Sb", "Sb", "Al", "Pr"],
  "frac_coords": [[0.4063, 0.4063, 0.7811], [0.1433, 0.1433, 0.5702], [0.8567, 0.8567, 0.4298], [0.5937, 0.5937, 0.2189], [0.2520, 0.2520, 0.2441], [0.7480, 0.7480, 0.7559], [0.5000, 0.5000, 0.5000], [0.0000, 0.0000, 0.0000]]
}

***

# 5
{
  "formula": "PrScAl2Pd5",
  "functional": "PBE",
  "state": "relaxed",
  "density_g_cm3": 7.76,
  "sg": "No. 123",
  "final_energy_ev_per_cell": -51.02,
  "ef_ev_per_atom": -0.718,
  "dos_ef_per_ev_fu": 5.8,
  "lattice_angstrom": [[-2.0451, 3.0118, -2.1007], [-3.2191, -0.3136, 2.6843], [3.9279, 6.4806, 5.4674]],
  "species": ["Pd", "Pd", "Pd", "Pd", "Pd", "Al", "Al", "Pr", "Sc"],
  "frac_coords": [[0.5000, 0.5000, 0.5000], [0.0000, 0.5000, 0.2670], [0.0000, 0.5000, 0.7330], [0.5000, 0.0000, 0.7330], [0.5000, 0.0000, 0.2670], [0.5000, 0.5000, 0.1340], [0.5000, 0.5000, 0.8660], [0.0000, 0.0000, 0.5000], [0.0000, 0.0000, 0.0000]]
}

***

# 6
{
  "formula": "Pr2ScAl2Pd5",
  "functional": "PBE",
  "state": "relaxed",
  "density_g_cm3": 7.78,
  "sg": "No. 127",
  "final_energy_ev_per_cell": -114.34,
  "ef_ev_per_atom": -0.783,
  "dos_ef_per_ev_fu": 5.9,
  "lattice_angstrom": [[-3.1298, 1.1931, -1.0205], [-0.9890, -8.2042, -6.5589], [-4.6260, -5.5743, 7.6703]],
  "species": ["Pd", "Pd", "Pd", "Pd", "Pd", "Pd", "Pd", "Pd", "Pd", "Pd", "Sc", "Sc", "Pr", "Pr", "Pr", "Pr", "Al", "Al", "Al", "Al"],
  "frac_coords": [[0.5000, 0.2919, 0.5590], [0.5000, 0.9410, 0.2081], [0.5000, 0.4410, 0.2919], [0.5000, 0.0000, 0.5000], [0.5000, 0.5590, 0.7081], [0.5000, 0.7081, 0.4410], [0.5000, 0.0590, 0.7919], [0.5000, 0.5000, 0.0000], [0.5000, 0.2081, 0.0590], [0.5000, 0.7919, 0.9410], [0.0000, 0.0000, 0.0000], [0.0000, 0.5000, 0.5000], [0.0000, 0.6773, 0.1773], [0.0000, 0.1773, 0.3227], [0.0000, 0.8227, 0.6773], [0.0000, 0.3227, 0.8227], [0.0000, 0.3773, 0.1227], [0.0000, 0.1227, 0.6227], [0.0000, 0.8773, 0.3773], [0.0000, 0.6227, 0.8773]]
}

***

# 7
{
  "formula": "PrScAlPd",
  "functional": "PBE",
  "state": "relaxed",
  "density_g_cm3": 5.89,
  "sg": "No. 216",
  "final_energy_ev_per_cell": -21.97,
  "ef_ev_per_atom": -0.480,
  "dos_ef_per_ev_fu": 2.7,
  "lattice_angstrom": [[5.0295, 0.0000, 0.0000], [2.5147, 4.3557, 0.0000], [2.5147, 1.4519, 4.1065]],
  "species": ["Al", "Pd", "Pr", "Sc"],
  "frac_coords": [[0.2500, 0.2500, 0.2500], [0.7500, 0.7500, 0.7500], [0.0000, 0.0000, 0.0000], [0.5000, 0.5000, 0.5000]]
}

***

# 8
{
  "formula": "Pr2AlPdSe5",
  "functional": "PBE",
  "state": "relaxed",
  "density_g_cm3": 6.41,
  "sg": "No. 36",
  "final_energy_ev_per_cell": -94.67,
  "dos_ef_per_ev_fu": 3.5,
  "formation_energy_uncorrected_ev_per_atom": -1.269,
  "lattice_angstrom": [[-0.4748, -3.2376, 2.3423], [8.8025, -0.8972, -2.9127], [3.6132, 6.0271, 9.0630]],
  "species": ["Se", "Se", "Se", "Se", "Se", "Se", "Se", "Se", "Se", "Se", "Al", "Al", "Pr", "Pr", "Pr", "Pr", "Pd", "Pd"],
  "frac_coords": [[0.9729, 0.9458, 0.5734], [0.5260, 0.0519, 0.8036], [0.3558, 0.7116, 0.9964], [0.2820, 0.5641, 0.3365], [0.7180, 0.4359, 0.8365], [0.6939, 0.3879, 0.1466], [0.0271, 0.0542, 0.0734], [0.4740, 0.9481, 0.3036], [0.3061, 0.6121, 0.6466], [0.6442, 0.2884, 0.4964], [0.5921, 0.1841, 0.9917], [0.4079, 0.8159, 0.4917], [0.8711, 0.7423, 0.1874], [0.1054, 0.2108, 0.3135], [0.1289, 0.2577, 0.6874], [0.8946, 0.7892, 0.8135], [0.1942, 0.3885, 0.9750], [0.8058, 0.6115, 0.4750]]
}